The following is a GGA-PBEsol calculation of crystalline BaSeCl2 at its relaxed geometry, from Alexandria.

Calculated values
Space group   I-4m2
Offset from the most stable computed form   0 kJ/mol of formula units
Uncorrected formation energy   -1.347 eV/atom

a b c (Å): 4.260 4.260 11.243
angles (deg): 90.00 90.00 90.00
Element x y z (fractional)
Ba  0.000  0.000  0.000
Ba  0.500  0.500  0.500
Se  0.000  0.500  0.750
Se  0.500  0.000  0.250
Cl  0.000  0.000  0.500
Cl  0.000  0.500  0.250
Cl  0.500  0.000  0.750
Cl  0.500  0.500  0.000